1.
# Pr4Dy4In PBE relaxed
# Formation energy = -0.070 eV per atom
# Mass density = 7.568 g/cm³
# Final energy = -4.54 eV/atom
data_Pr4Dy4In
_space_group_name_H-M_alt 'I 4/m m m'
_space_group_IT_number 139
_space_group_name_Hall '-I 4 2'
_cell_length_a 10.8305
_cell_length_b 10.8305
_cell_length_c 4.9699
_cell_angle_alpha 90.00
_cell_angle_beta 90.00
_cell_angle_gamma 90.00
loop_
_atom_site_label
_atom_site_type_symbol
_atom_site_fract_x
_atom_site_fract_y
_atom_site_fract_z
Pr1 Pr 0.1617 0.1617 0.0000
Dy1 Dy 0.0000 0.3361 0.5000
In1 In 0.0000 0.0000 0.5000

***

2.
# PaSb3 PBE relaxed
# Formation energy from raw total energies = -307 meV per atom
# Mass density = 8.605 g/cm³
# Final energy = -5.77 eV/atom
data_PaSb3
_space_group_name_H-M_alt 'C m c m'
_space_group_IT_number 63
_space_group_name_Hall '-C 2c 2'
_cell_length_a 4.3097
_cell_length_b 24.6853
_cell_length_c 4.3266
_cell_angle_alpha 90.00
_cell_angle_beta 90.00
_cell_angle_gamma 90.00
loop_
_atom_site_label
_atom_site_type_symbol
_atom_site_fract_x
_atom_site_fract_y
_atom_site_fract_z
Pa1 Pa 0.0000 0.1716 0.2500
Sb1 Sb 0.0000 0.0663 0.7500
Sb2 Sb 0.0000 0.2998 0.2500
Sb3 Sb 0.0000 0.4223 0.7500

***

3.
# Nd4Bi2Pt PBE relaxed
# Formation energy = -0.696 eV per atom
# Mass density = 8.829 g/cm³
# Final energy = -5.39 eV/atom
data_Nd4Bi2Pt
_space_group_name_H-M_alt 'P 1 21/m 1'
_space_group_IT_number 11
_cell_length_a 7.3150
_cell_length_b 6.6144
_cell_length_c 9.7892
_cell_angle_alpha 90.00
_cell_angle_beta 109.08
_cell_angle_gamma 90.00
loop_
_space_group_symop_operation_xyz
'x,y,z'
'-x,-y,-z'
'-x,y+1/2,-z'
'x,-y+1/2,z'
loop_
_atom_site_label
_atom_site_type_symbol
_atom_site_fract_x
_atom_site_fract_y
_atom_site_fract_z
Nd1 Nd 0.0074 0.0068 0.2658
Nd2 Nd 0.4047 0.7500 0.0748
Nd3 Nd 0.4478 0.7500 0.6342
Bi1 Bi 0.2181 0.2500 0.0447
Bi2 Bi 0.2471 0.2500 0.5717
Pt1 Pt 0.3381 0.7500 0.3339

***

> Which value of final energy does entry 1 give?

-4.54 eV/atom

***

> Look up the mass density of the first one.

7.568 g/cm³